# 1
LiLaCuRu | Alexandria via LeMat-Bulk | PBE | relaxed; total magnetization = 0.0 μB/f.u.; formation energy = 121 meV per atom; V = 72 Å³/cell
1.0
-3.2496 -1.4883 -3.0086
-1.1719 -4.5208 -0.1253
-4.1810 -1.3737 1.5681
Li La Ru Cu
1 1 1 1
direct
0.7500 0.7500 0.7500 Li
0.0000 0.0000 0.0000 La
0.2500 0.2500 0.2500 Ru
0.5000 0.5000 0.5000 Cu

# 2
Y2ZnCo2 | Alexandria via LeMat-Bulk | PBE | relaxed; total magnetization = 2.9 μB/f.u.; formation energy = -5 meV per atom; V = 100 Å³/cell
1.0
-0.2168 -3.3259 -0.5561
0.3787 -0.5777 3.3077
-8.5691 -1.5650 2.4338
Co Zn Y
2 1 2
direct
0.2500 0.7500 0.5000 Co
0.7500 0.2500 0.5000 Co
0.0000 0.0000 0.0000 Zn
0.6139 0.6139 0.7722 Y
0.3861 0.3861 0.2278 Y

# 3
K2Al2Mo | Alexandria via LeMat-Bulk | PBE | relaxed; total magnetization = 1.6 μB/f.u.; energy above the most stable polymorph in this dataset = 0.1880 eV per atom; formation energy = 1282 meV per atom; V = 277 Å³/cell
1.0
-0.9802 9.3418 3.2994
-5.9331 -3.2088 7.3225
2.2293 -0.3499 1.6530
Al K Mo
4 4 2
direct
0.1714 0.6714 0.5000 Al
0.3286 0.1714 0.5000 Al
0.6714 0.8286 0.5000 Al
0.8286 0.3286 0.5000 Al
0.1278 0.3722 0.0000 K
0.6278 0.1278 0.0000 K
0.8722 0.6278 0.0000 K
0.3722 0.8722 0.0000 K
0.0000 0.0000 0.0000 Mo
0.5000 0.5000 0.0000 Mo

# 4
PtWC2 | Alexandria via LeMat-Bulk | PBE | relaxed; total magnetization = 0.0 μB/f.u.; energy above the most stable polymorph in this dataset = 0.0000 eV per atom; formation energy = 665 meV per atom; V = 106 Å³/cell
1.0
4.7658 0.0000 0.0000
0.0000 4.7658 0.0000
2.3829 2.3829 4.6692
W C Pt
2 4 2
direct
0.2500 0.7500 0.5000 W
0.5000 0.5000 0.0000 W
0.1394 0.6250 0.2500 C
0.6106 0.1250 0.2500 C
0.8750 0.8606 0.7500 C
0.3750 0.3894 0.7500 C
0.0000 0.0000 0.0000 Pt
0.7500 0.2500 0.5000 Pt